1.
The following is a PBE calculation of CdSbW2 after structural relaxation, from Alexandria. Values from VASP.

## Properties
distance to the lowest polymorph of the same formula: 0.2794 eV/atom
space group: Cm, No. 8
ΔE_f (raw): 2.736 eV per formula unit
VASP energy: -7.0520 eV/atom

```
&SYSTEM
  ibrav = 0, nat = 4, ntyp = 3
/
ATOMIC_SPECIES
Cd 112.41 Cd.upf
Sb 121.76 Sb.upf
W 183.84 W.upf
CELL_PARAMETERS angstrom
4.953 -1.641 0.000
4.953 1.641 0.000
-1.585 0.000 4.786
ATOMIC_POSITIONS angstrom
Cd 0.000 0.000 0.000
Sb 1.122 0.000 3.256
W 3.787 0.000 2.197
W 7.202 0.000 1.011
```



2.
The following is a PBE calculation of CdSbW2 after structural relaxation, from Alexandria. Values from VASP.

## Properties
distance to the lowest polymorph of the same formula: 0.5489 eV/atom
space group: I4/mmm, No. 139
ΔE_f (raw): 3.814 eV per formula unit
VASP energy: -6.7825 eV/atom

```
&SYSTEM
  ibrav = 0, nat = 4, ntyp = 3
/
ATOMIC_SPECIES
Cd 112.41 Cd.upf
Sb 121.76 Sb.upf
W 183.84 W.upf
CELL_PARAMETERS angstrom
-2.040 2.040 4.460
2.040 -2.040 4.460
2.040 2.040 -4.460
ATOMIC_POSITIONS angstrom
Cd 0.000 0.000 0.000
Sb 0.000 0.000 4.460
W 2.040 0.000 2.230
W 0.000 2.040 2.230
```



Which of these has the highest distance to the lowest polymorph of the same formula?
number 2



Which value of ΔE_f (raw) does entry 2 give?
3.814 eV per formula unit



The highest distance to the lowest polymorph of the same formula belongs to which entry?
number 2